Density functional theory data (PBE-GGA) for a geometry-optimized KGa2HgTe4 structure.

Results
Its total magnetic moment is 0.000 μB/f.u. Its space-group type is I222. The value obtained for the total energy is -22.1 eV for the cell shown. The calculation puts the formation energy without anion corrections at -0.26 eV/atom.

```
data_KGa2HgTe4
_symmetry_space_group_name_H-M 'P 1'
_symmetry_Int_Tables_number 1
_cell_length_a 7.234
_cell_length_b 7.234
_cell_length_c 7.234
_cell_angle_alpha 121.17
_cell_angle_beta 108.36
_cell_angle_gamma 99.64
loop_
_symmetry_equiv_pos_as_xyz
'x,y,z'
loop_
_atom_site_label
_atom_site_type_symbol
_atom_site_fract_x
_atom_site_fract_y
_atom_site_fract_z
K1 K 0.000 0.000 0.000
Ga1 Ga 0.360 0.860 0.500
Ga2 Ga 0.640 0.140 0.500
Hg1 Hg 0.500 0.500 0.000
Te1 Te 0.112 0.078 0.581
Te2 Te 0.498 0.531 0.419
Te3 Te 0.502 0.922 0.034
Te4 Te 0.888 0.469 0.966
```